# AsIrRh2 (PBE, optimized geometry)
data_AsIrRh2
_space_group_name_H-M_alt 'P 4 m m'
_space_group_IT_number 99
_cell_length_a 2.873
_cell_length_b 2.873
_cell_length_c 7.116
_cell_angle_alpha 90.00
_cell_angle_beta 90.00
_cell_angle_gamma 90.00
loop_
_space_group_symop_operation_xyz
'x,y,z'
'-y,x,z'
'-x,-y,z'
'y,-x,z'
'-x,y,z'
'y,x,z'
'x,-y,z'
'-y,-x,z'
loop_
_atom_site_label
_atom_site_fract_x
_atom_site_fract_y
_atom_site_fract_z
As1 0.000 0.000 0.000
Ir1 0.500 0.500 0.240
Rh1 0.000 0.000 0.501
Rh2 0.500 0.500 0.768
# **DFT formation energy**: 0.0863 eV per atom
# **Total magnetization**: 0.00 μB/f.u.